[1]
Material: ZrTa4Sb
Method: DFT, PBE
State: relaxed

Lattice parameters (Å, degrees): 5.5720 5.5720 5.5720 60.00 60.00 60.00
Fractional positions:
Zr 0.0000 0.0000 0.0000
Ta 0.3738 0.3738 0.3738
Ta 0.3738 0.3738 0.8785
Ta 0.3738 0.8785 0.3738
Ta 0.8785 0.3738 0.3738
Sb 0.7500 0.7500 0.7500

Calculated values
**E_form (uncorrected)**: 0.203 eV/atom


[2]
Material: Zn2CrIn
Method: DFT, PBE
State: relaxed

Lattice parameters (Å, degrees): 4.0624 4.0624 8.2163 90.00 90.00 90.00
Fractional positions:
Zn 0.0000 0.5000 0.2500
Zn 0.0000 0.5000 0.7500
Zn 0.5000 0.0000 0.2500
Zn 0.5000 0.0000 0.7500
Cr 0.0000 0.0000 0.0000
Cr 0.5000 0.5000 0.5000
In 0.0000 0.0000 0.5000
In 0.5000 0.5000 0.0000

Calculated values
**Energy relative to the elements**: 0.196 eV per atom


[3]
Material: Er2Zn16Sn
Method: DFT, PBE
State: relaxed

Lattice parameters (Å, degrees): 6.8387 6.8387 6.8387 84.00 84.00 84.00
Fractional positions:
Er 0.0000 0.0000 0.0000
Er 0.3205 0.3205 0.3205
Zn 0.0099 0.0099 0.4962
Zn 0.0099 0.4962 0.0099
Zn 0.1475 0.6719 0.6719
Zn 0.3083 0.3083 0.8415
Zn 0.3083 0.8415 0.3083
Zn 0.3497 0.6621 0.9780
Zn 0.3497 0.9780 0.6621
Zn 0.4962 0.0099 0.0099
Zn 0.6621 0.3497 0.9780
Zn 0.6621 0.9780 0.3497
Zn 0.6719 0.1475 0.6719
Zn 0.6719 0.6719 0.1475
Zn 0.7681 0.7681 0.7681
Zn 0.8415 0.3083 0.3083
Zn 0.9780 0.3497 0.6621
Zn 0.9780 0.6621 0.3497
Sn 0.5621 0.5621 0.5621

Calculated values
**Energy relative to the elements**: -0.195 eV per atom


[4]
Material: LaPbN3
Method: DFT, PBE
State: relaxed

Lattice parameters (Å, degrees): 4.2543 4.2543 4.2543 90.00 90.00 90.00
Fractional positions:
La 0.0000 0.0000 0.0000
Pb 0.5000 0.5000 0.5000
N 0.0000 0.5000 0.5000
N 0.5000 0.0000 0.5000
N 0.5000 0.5000 0.0000

Calculated values
**E_form (uncorrected)**: 0.722 eV/atom


Magnetization readings, ordered: 0.00; 7.04; 0.00; 0.00 Bohr magnetons per cell